(1)
VASP calculation (GGA-PBE) on a relaxed Li2Al2Ni crystal.

Lattice parameters (Å, degrees): 3.1821 3.1821 14.0808 90.00 90.00 90.00
Space group I4/mmm (No. 139)
Inequivalent atoms, fractional coordinates:
Li (0.0000, 0.5000, 0.2500)
Al (0.0000, 0.0000, 0.0928)
Ni (0.0000, 0.0000, 0.5000)

Output
Total DFT energy (no corrections) = -3.48 eV/atom
Theoretical density = 2.947 g cm⁻³
Energy relative to the lowest polymorph listed for this composition = 8 meV per atom

(2)
VASP calculation (GGA-PBE) on a relaxed LiAl8Ni4 crystal.

Lattice parameters (Å, degrees): 8.4520 8.4520 5.1393 90.00 90.00 90.00
Space group I4/mmm (No. 139)
Inequivalent atoms, fractional coordinates:
Li (0.0000, 0.0000, 0.0000)
Al (0.0000, 0.2257, 0.5000)
Al (0.0000, 0.3332, 0.0000)
Ni (0.2500, 0.2500, 0.2500)

Output
Total DFT energy (no corrections) = -4.70 eV/atom
Theoretical density = 4.139 g cm⁻³